The following is a DFT calculation (PBE-GGA) of a geometry-optimized CeTh2Be structure.

a = 3.354 Å, b = 3.354 Å, c = 11.852 Å
α = 81.87°, β = 81.87°, γ = 60.00°
Element x y z (fractional)
Th1 0.083 0.083 0.752
Th2 0.917 0.917 0.248
Ce1 0.500 0.500 0.500
Be1 0.000 0.000 0.000

Output
Crystal system: trigonal
DFT formation energy: 0.750 eV per atom


The following is a DFT calculation (PBE-GGA) of a geometry-optimized La3Tb4Tm3 structure.

a = 3.733 Å, b = 9.510 Å, c = 9.510 Å
α = 89.92°, β = 90.00°, γ = 90.00°
Element x y z (fractional)
Tb1 0.000 0.625 0.375
Tb2 0.000 0.869 0.879
Tb3 0.000 0.380 0.620
Tb4 0.000 0.121 0.131
La1 0.000 0.995 0.492
La2 0.500 0.173 0.827
La3 0.000 0.508 0.005
Tm1 0.500 0.331 0.328
Tm2 0.500 0.827 0.173
Tm3 0.500 0.672 0.669

Output
Crystal system: orthorhombic
DFT formation energy: 0.082 eV per atom


The following is a DFT calculation (PBE-GGA) of a geometry-optimized Sr4Sn9Au7 structure.

a = 4.795 Å, b = 4.795 Å, c = 23.070 Å
α = 90.00°, β = 90.00°, γ = 90.00°
Element x y z (fractional)
Au1 0.000 0.500 0.322
Au2 0.000 0.000 0.500
Au3 0.000 0.500 0.812
Au4 0.500 0.000 0.188
Au5 0.000 0.000 0.000
Au6 0.500 0.000 0.678
Au7 0.500 0.500 0.500
Sn1 0.500 0.500 0.257
Sn2 0.000 0.500 0.928
Sn3 0.000 0.000 0.256
Sn4 0.500 0.000 0.561
Sn5 0.000 0.000 0.744
Sn6 0.500 0.500 0.743
Sn7 0.500 0.000 0.072
Sn8 0.500 0.500 0.000
Sn9 0.000 0.500 0.439
Sr1 0.500 0.000 0.869
Sr2 0.500 0.000 0.384
Sr3 0.000 0.500 0.131
Sr4 0.000 0.500 0.616

Output
Crystal system: tetragonal
DFT formation energy: -0.522 eV per atom


Which value of DFT formation energy does entry 1 give?
0.750 eV per atom


Which value of DFT formation energy does entry 3 give?
-0.522 eV per atom


Among the records above, which one has the highest DFT formation energy?
CeTh2Be


Look up the DFT formation energy of the third one.
-0.522 eV per atom